Entry 1:
KZr2Au | the Alexandria database | PBE-GGA | relaxed; relative energy among the computed polymorphs = 0.1792 eV per atom
1.0
10.952 0.008 0.005
10.427 3.351 0.005
10.427 1.638 2.923
Zr Au K
2 1 1
Direct
0.244 0.244 0.244
0.985 0.985 0.985
0.512 0.512 0.512
0.759 0.759 0.759

Entry 2:
AlCdPd2 | the Alexandria database | PBE-GGA | relaxed; uncorrected energy = -4.231 eV per atom
1.0
-3.125 0.796 -2.439
0.265 -0.815 -3.951
-2.812 -4.696 -1.300
Al Pd Cd
1 2 1
Direct
0.674 0.674 0.976
0.273 0.273 0.180
0.059 0.059 0.822
0.494 0.494 0.521

Entry 3:
HfGeS4 | the Alexandria database | PBE-GGA | relaxed; ΔE_f (raw) = -0.806 eV per atom
1.0
3.500 0.000 0.000
-1.750 7.282 0.687
0.000 -3.108 5.475
S Hf Ge
4 1 1
Direct
0.109 0.219 0.432
0.395 0.791 0.054
0.891 0.781 0.568
0.605 0.209 0.946
0.500 0.000 0.500
0.000 0.000 0.000